No. 1
## CsEuSiS4 (GGA-PBE)

Data for CsEuSiS4 after structural relaxation.

Properties
As for the total magnetic moment: 23.90 Bohr magnetons per cell. For the energy relative to the elements, uncorrected, the calculation gives -1.278 eV per atom.

Cell: 6.6297 6.8395 18.0834 Å, 90.00 90.00 90.00°
Last column: nearest neighbours and their distance in Å.
Sites, in units of the cell vectors:
Cs  0.0172  0.0047  0.4665  8 S 3.57-3.88
Cs  0.4828  0.9953  0.9665  8 S 3.57-3.88
Cs  0.5172  0.4953  0.5335  8 S 3.57-3.88
Cs  0.9828  0.5047  0.0335  8 S 3.57-3.88
Eu  0.2088  0.0295  0.7259  7 S 2.90-3.04
Eu  0.2912  0.9705  0.2259  7 S 2.90-3.04
Eu  0.7088  0.4705  0.2741  7 S 2.90-3.04
Eu  0.7912  0.5295  0.7741  7 S 2.90-3.04
Si  0.2106  0.5170  0.3340  4 S 2.12-2.14
Si  0.2894  0.4830  0.8340  4 S 2.12-2.14
Si  0.7106  0.9830  0.6660  4 S 2.12-2.14
Si  0.7894  0.0170  0.1660  4 S 2.12-2.14
S  0.0427  0.0115  0.0949  1 Si 2.12
S  0.0750  0.2570  0.8562  1 Si 2.14
S  0.1105  0.5703  0.2236  1 Si 2.13
S  0.1160  0.7455  0.8452  1 Si 2.14
S  0.3840  0.2545  0.3452  1 Si 2.14
S  0.3895  0.4297  0.7236  1 Si 2.13
S  0.4250  0.7430  0.3562  1 Si 2.14
S  0.4573  0.9885  0.5949  1 Si 2.12
S  0.5427  0.4885  0.9051  1 Si 2.12
S  0.5750  0.2430  0.1438  1 Si 2.14
S  0.6105  0.9297  0.7764  1 Si 2.13
S  0.6160  0.7545  0.1548  1 Si 2.14
S  0.8840  0.2455  0.6548  1 Si 2.14
S  0.8895  0.0703  0.2764  1 Si 2.13
S  0.9250  0.7570  0.6438  1 Si 2.14
S  0.9573  0.5115  0.4051  1 Si 2.12

No. 2
## CsEuSb2 (GGA-PBE)

Data for CsEuSb2 after structural relaxation.

Properties
As for the total magnetic moment: 6.98 Bohr magnetons per cell. For the energy relative to the elements, uncorrected, the calculation gives -0.696 eV per atom.

Cell: 4.3722 4.3722 8.0830 Å, 90.00 90.00 90.00°
Last column: nearest neighbours and their distance in Å.
Sites, in units of the cell vectors:
Cs  0.0000  0.0000  0.0000  2 Eu 4.04, 8 Sb 4.06, 4 Cs 4.37
Eu  0.0000  0.0000  0.5000  8 Sb 3.40
Sb  0.5000  0.5000  0.3248  1 Sb 2.83
Sb  0.5000  0.5000  0.6752  1 Sb 2.83

No. 3
## Cs2EuSe (GGA-PBE)

Data for Cs2EuSe after structural relaxation.

Properties
As for the total magnetic moment: 20.93 Bohr magnetons per cell. For the energy relative to the elements, uncorrected, the calculation gives -0.392 eV per atom.

Cell: 4.9164 4.9164 39.6648 Å, 90.00 90.00 120.00°
Last column: nearest neighbours and their distance in Å.
Sites, in units of the cell vectors:
Cs  0.0000  0.0000  0.1190  3 Se 3.41
Cs  0.0000  0.0000  0.8810  3 Se 3.41
Cs  0.3333  0.6667  0.5477  3 Se 3.41
Cs  0.3333  0.6667  0.7856  3 Se 3.41
Cs  0.6667  0.3333  0.2144  3 Se 3.41
Cs  0.6667  0.3333  0.4523  3 Se 3.41
Eu  0.0000  0.0000  0.0000  2 Cs 4.72, 6 Eu 4.92
Eu  0.3333  0.6667  0.6667  2 Cs 4.72, 6 Eu 4.92
Eu  0.6667  0.3333  0.3333  2 Cs 4.72, 6 Eu 4.92
Se  0.0000  0.0000  0.5000  6 Cs 3.41
Se  0.3333  0.6667  0.1667  6 Cs 3.41
Se  0.6667  0.3333  0.8333  6 Cs 3.41

No. 4
## CsEuSn4 (GGA-PBE)

Data for CsEuSn4 after structural relaxation.

Properties
The formation energy from the elements is -250 meV per atom. As for the total magnetic moment: 6.94 Bohr magnetons per cell.

Cell: 6.4853 6.4853 6.4853 Å, 60.00 60.00 60.00°
Last column: nearest neighbours and their distance in Å.
Sites, in units of the cell vectors:
Cs  0.0000  0.0000  0.0000  12 Sn 3.80, 4 Eu 3.97
Eu  0.7500  0.7500  0.7500  12 Sn 3.80, 4 Cs 3.97
Sn  0.3759  0.3759  0.3759  6 Sn 3.22-3.26
Sn  0.3759  0.3759  0.8724  6 Sn 3.22-3.26
Sn  0.3759  0.8724  0.3759  6 Sn 3.22-3.26
Sn  0.8724  0.3759  0.3759  6 Sn 3.22-3.26

No. 5
## CsSr2Eu (GGA-PBE)

Data for CsSr2Eu after structural relaxation.

Properties
The formation energy from the elements is 153 meV per atom. As for the total magnetic moment: 23.94 Bohr magnetons per cell.

Cell: 4.2510 4.2510 45.5894 Å, 90.00 90.00 120.00°
Last column: nearest neighbours and their distance in Å.
Sites, in units of the cell vectors:
Cs  0.0000  0.0000  0.0000  6 Cs 4.25, 2 Sr 4.26
Cs  0.3333  0.6667  0.6667  6 Cs 4.25, 2 Sr 4.26
Cs  0.6667  0.3333  0.3333  6 Cs 4.25, 2 Sr 4.26
Sr  0.0000  0.0000  0.0934  3 Eu 4.15, 6 Sr 4.25, 1 Cs 4.26
Sr  0.0000  0.0000  0.9066  3 Eu 4.15, 6 Sr 4.25, 1 Cs 4.26
Sr  0.3333  0.6667  0.5733  3 Eu 4.15, 6 Sr 4.25, 1 Cs 4.26
Sr  0.3333  0.6667  0.7600  3 Eu 4.15, 6 Sr 4.25, 1 Cs 4.26
Sr  0.6667  0.3333  0.2400  3 Eu 4.15, 6 Sr 4.25, 1 Cs 4.26
Sr  0.6667  0.3333  0.4267  3 Eu 4.15, 6 Sr 4.25, 1 Cs 4.26
Eu  0.0000  0.0000  0.5000  6 Sr 4.15, 6 Eu 4.25
Eu  0.3333  0.6667  0.1667  6 Sr 4.15, 6 Eu 4.25
Eu  0.6667  0.3333  0.8333  6 Sr 4.15, 6 Eu 4.25

No. 6
## CsSrEu2 (GGA-PBE)

Data for CsSrEu2 after structural relaxation.

Properties
The formation energy from the elements is 171 meV per atom. As for the total magnetic moment: 15.25 Bohr magnetons per cell.

Cell: 4.2130 4.2130 13.1324 Å, 90.00 90.00 90.00°
Last column: nearest neighbours and their distance in Å.
Sites, in units of the cell vectors:
Cs  0.0000  0.0000  0.0000  4 Cs 4.21
Sr  0.0000  0.0000  0.5000  8 Eu 4.13, 4 Sr 4.21
Eu  0.5000  0.5000  0.2825  4 Sr 4.13, 4 Eu 4.21
Eu  0.5000  0.5000  0.7175  4 Sr 4.13, 4 Eu 4.21

> Look up the total magnetic moment of the third one.

20.93 Bohr magnetons per cell